# CsP2Cl (PBE, optimized geometry)
data_CsP2Cl
_chemical_formula_sum 'Cs4 P8 Cl4'
_space_group_name_H-M_alt 'I 41/a m d'
_space_group_IT_number 141
_cell_length_a 4.4765
_cell_length_b 4.4765
_cell_length_c 31.4241
_cell_angle_alpha 90.00
_cell_angle_beta 90.00
_cell_angle_gamma 90.00
loop_
_space_group_symop_operation_xyz
'x,y,z'
'-x,-y,-z'
'-y+1/4,x+3/4,z+1/4'
'y+1/4,-x+3/4,-z+1/4'
'-x+1/2,-y,z+1/2'
'x+1/2,y,-z+1/2'
'y+1/4,-x+1/4,z+3/4'
'-y+1/4,x+1/4,-z+3/4'
'x,-y,-z'
'-x,y,z'
'-y+1/4,-x+1/4,-z+3/4'
'y+1/4,x+1/4,z+3/4'
'-x+1/2,y,-z+1/2'
'x+1/2,-y,z+1/2'
'y+1/4,x+3/4,-z+1/4'
'-y+1/4,-x+3/4,z+1/4'
'x+1/2,y+1/2,z+1/2'
'-x+1/2,-y+1/2,-z+1/2'
'-y+3/4,x+1/4,z+3/4'
'y+3/4,-x+1/4,-z+3/4'
'-x,-y+1/2,z'
'x,y+1/2,-z'
'y+3/4,-x+3/4,z+1/4'
'-y+3/4,x+3/4,-z+1/4'
'x+1/2,-y+1/2,-z+1/2'
'-x+1/2,y+1/2,z+1/2'
'-y+3/4,-x+3/4,-z+1/4'
'y+3/4,x+3/4,z+1/4'
'-x,y+1/2,-z'
'x,-y+1/2,z'
'y+3/4,x+1/4,-z+3/4'
'-y+3/4,-x+1/4,z+3/4'
loop_
_atom_site_label
_atom_site_type_symbol
_atom_site_fract_x
_atom_site_fract_y
_atom_site_fract_z
Cs1 Cs 0.0000 0.2500 0.3750
P1 P 0.0000 0.0000 0.0000
Cl1 Cl 0.0000 0.2500 0.8750
# Spin magnetization, μB/cell: 0.0
# Formation energy from raw total energies, eV/atom: -0.233